1.
Computed, not measured: a relaxed structure of Li6TlHg at the GGA-PBE level of DFT.

Output
**Energy**: -2.008 eV per atom

```
data_Li6TlHg
_chemical_formula_sum 'Li6 Tl1 Hg1'
_symmetry_space_group_name_H-M 'P 4/m m m'
_symmetry_Int_Tables_number 123
_symmetry_space_group_name_Hall '-P 4 2'
_cell_length_a 4.566
_cell_length_b 4.566
_cell_length_c 6.382
_cell_angle_alpha 90.00
_cell_angle_beta 90.00
_cell_angle_gamma 90.00
loop_
_atom_site_label
_atom_site_type_symbol
_atom_site_fract_x
_atom_site_fract_y
_atom_site_fract_z
Li1 Li 0.000 0.000 0.000
Li2 Li 0.000 0.500 0.247
Li3 Li 0.500 0.500 0.500
Tl1 Tl 0.000 0.000 0.500
Hg1 Hg 0.500 0.500 0.000
```

---

2.
Computed, not measured: a relaxed structure of ZnAgOs2 at the GGA-PBE level of DFT.

Output
**Energy of formation from the pure elements**: 568 meV per atom
**Total magnetization**: 0.0 μB/f.u.

```
data_ZnAgOs2
_chemical_formula_sum 'Zn4 Ag4 Os8'
_symmetry_space_group_name_H-M 'F -4 3 m'
_symmetry_Int_Tables_number 216
_symmetry_space_group_name_Hall 'F -4 2 3'
_cell_length_a 6.217
_cell_length_b 6.217
_cell_length_c 6.217
_cell_angle_alpha 90.00
_cell_angle_beta 90.00
_cell_angle_gamma 90.00
loop_
_atom_site_label
_atom_site_type_symbol
_atom_site_fract_x
_atom_site_fract_y
_atom_site_fract_z
Zn1 Zn 0.000 0.000 0.000
Ag1 Ag 0.250 0.250 0.750
Os1 Os 0.000 0.000 0.500
Os2 Os 0.250 0.250 0.250
```

---

What did the first record say?
Computed, not measured: a relaxed structure of Li6TlHg at the GGA-PBE level of DFT.

Output
**Energy**: -2.008 eV per atom

```
data_Li6TlHg
_chemical_formula_sum 'Li6 Tl1 Hg1'
_symmetry_space_group_name_H-M 'P 4/m m m'
_symmetry_Int_Tables_number 123
_symmetry_space_group_name_Hall '-P 4 2'
_cell_length_a 4.566
_cell_length_b 4.566
_cell_length_c 6.382
_cell_angle_alpha 90.00
_cell_angle_beta 90.00
_cell_angle_gamma 90.00
loop_
_atom_site_label
_atom_site_type_symbol
_atom_site_fract_x
_atom_site_fract_y
_atom_site_fract_z
Li1 Li 0.000 0.000 0.000
Li2 Li 0.000 0.500 0.247
Li3 Li 0.500 0.500 0.500
Tl1 Tl 0.000 0.000 0.500
Hg1 Hg 0.500 0.500 0.000
```